## P
First-principles (PBE) data for a relaxed structure of BaPCl2, as listed in Alexandria.

abc: 4.0538 5.9154 4.4718
angles: 90.00 90.00 90.00
Element x y z (fractional)
Cl  0.0000  0.0000  0.0000
Cl  0.5000  0.5000  0.0000
Ba  0.0000  0.5000  0.5000
P  0.5000  0.0000  0.5000

Output
Total magnetic moment in μB per formula unit: 0.25
Fermi-level density of states in states/eV per cell: 2.3
Volume in Å³/f.u.: 107.2

***

## Q
First-principles (PBE) data for a relaxed structure of BaPCl2, as listed in Alexandria.

abc: 8.6980 8.6980 8.6980
angles: 32.55 32.55 32.55
Element x y z (fractional)
Ba  0.6647  0.6647  0.6647
P  0.5041  0.5041  0.5041
Cl  0.2777  0.2777  0.2777
Cl  0.0535  0.0535  0.0535

Output
Total magnetic moment in μB per formula unit: 3.00
Volume in Å³/f.u.: 169.4

***

## R
First-principles (PBE) data for a relaxed structure of BaPCl2, as listed in Alexandria.

abc: 6.5793 6.5793 6.5793
angles: 141.85 141.85 55.06
Element x y z (fractional)
Cl  0.0000  0.0000  0.0000
Cl  0.2500  0.7500  0.5000
Ba  0.7500  0.2500  0.5000
P  0.5000  0.5000  0.0000

Output
Total magnetic moment in μB per formula unit: 0.87
Fermi-level density of states in states/eV per cell: 2.5
Volume in Å³/f.u.: 107.9

***

## S
First-principles (PBE) data for a relaxed structure of BaPCl2, as listed in Alexandria.

abc: 5.8312 4.5463 5.9387
angles: 59.82 90.00 90.00
Element x y z (fractional)
P  0.0000  0.4022  0.6383
Ba  0.5000  0.9742  0.7348
Cl  0.0000  0.9054  0.9774
Cl  0.5000  0.2182  0.1496

Output
Total magnetic moment in μB per formula unit: 1.01
Volume in Å³/f.u.: 136.1

***

Need the numbers? Relative energies in meV/atom: P 194; Q 134; R 212; S 0.

***

## P
First-principles (PBE) data for a relaxed structure of BaPCl2, as listed in Alexandria.

abc: 9.0466 9.0466 9.0466
angles: 31.14 31.14 31.14
Element x y z (fractional)
Cl  0.0306  0.0306  0.0306
Cl  0.4694  0.4694  0.4694
P  0.2500  0.2500  0.2500
Ba  0.7500  0.7500  0.7500

Output
Total magnetic moment in μB per formula unit: 3.00
Fermi-level density of states in states/eV per cell: 0.0
Volume in Å³/f.u.: 175.6

***

## Q
First-principles (PBE) data for a relaxed structure of BaPCl2, as listed in Alexandria.

abc: 5.5085 5.5085 4.9238
angles: 83.84 83.84 52.91
Element x y z (fractional)
Cl  0.0609  0.0609  0.9755
Cl  0.4391  0.4391  0.5245
Ba  0.7500  0.7500  0.7500
P  0.2500  0.2500  0.2500

Output
Total magnetic moment in μB per formula unit: 1.01
Fermi-level density of states in states/eV per cell: 1.7
Volume in Å³/f.u.: 118.3

***

Need the numbers? Relative energies in meV/atom: P 155; Q 0.

***

## P
First-principles (PBE) data for a relaxed structure of BaPCl2, as listed in Alexandria.

abc: 5.0522 5.0522 10.0763
angles: 75.48 75.48 90.00
Element x y z (fractional)
Cl  0.5749  0.1250  0.2500
Cl  0.1751  0.6250  0.2500
Cl  0.3750  0.4251  0.7500
Cl  0.8750  0.8249  0.7500
Ba  0.7500  0.2500  0.5000
Ba  0.0000  0.0000  0.0000
P  0.2500  0.7500  0.5000
P  0.5000  0.5000  0.0000

Output
Total magnetic moment in μB per formula unit: 0.23
Fermi-level density of states in states/eV per cell: 6.1
Volume in Å³/f.u.: 120.2

***

## Q
First-principles (PBE) data for a relaxed structure of BaPCl2, as listed in Alexandria.

abc: 6.5949 6.5949 4.6576
angles: 81.29 81.29 37.61
Element x y z (fractional)
Cl  0.2352  0.2352  0.1946
Cl  0.9853  0.9853  0.9372
Ba  0.7768  0.7768  0.6613
P  0.5027  0.5027  0.7069

Output
Total magnetic moment in μB per formula unit: 0.00
Fermi-level density of states in states/eV per cell: 1.0
Volume in Å³/f.u.: 122.0

***

## R
First-principles (PBE) data for a relaxed structure of BaPCl2, as listed in Alexandria.

abc: 5.0126 5.0126 5.0126
angles: 69.06 69.06 69.06
Element x y z (fractional)
Cl  0.2127  0.2127  0.2127
Cl  0.7873  0.7873  0.7873
Ba  0.5000  0.5000  0.5000
P  0.0000  0.0000  0.0000

Output
Total magnetic moment in μB per formula unit: 0.91
Fermi-level density of states in states/eV per cell: 1.6
Volume in Å³/f.u.: 106.0

***

## S
First-principles (PBE) data for a relaxed structure of BaPCl2, as listed in Alexandria.

abc: 4.0320 4.0320 8.3541
angles: 90.00 90.00 89.88
Element x y z (fractional)
Cl  0.0000  0.0000  0.9429
Cl  0.0000  0.0000  0.5571
Ba  0.5000  0.5000  0.7500
P  0.5000  0.5000  0.2500

Output
Total magnetic moment in μB per formula unit: 3.00
Volume in Å³/f.u.: 135.8

***

Need the numbers? Relative energies in meV/atom: P 222; Q 33; R 0; S 254.

***

## P
First-principles (PBE) data for a relaxed structure of BaPCl3, as listed in Alexandria.

abc: 5.1636 5.1636 5.1636
angles: 90.00 90.00 90.00
Element x y z (fractional)
Cl  0.5000  0.0000  0.0000
Cl  0.0000  0.5000  0.0000
Cl  0.0000  0.0000  0.5000
Ba  0.5000  0.5000  0.5000
P  0.0000  0.0000  0.0000

Output
Total magnetic moment in μB per formula unit: 0.00
Fermi-level density of states in states/eV per cell: 1.4
Volume in Å³/f.u.: 137.7

***

## Q
First-principles (PBE) data for a relaxed structure of BaPCl3, as listed in Alexandria.

abc: 6.0612 6.0612 6.0612
angles: 90.00 90.00 90.00
Element x y z (fractional)
Ba  0.0000  0.0000  0.0000
Cl  0.0000  0.5000  0.0000
Cl  0.5000  0.0000  0.0000
Cl  0.0000  0.0000  0.5000
P  0.5000  0.5000  0.5000

Output
Total magnetic moment in μB per formula unit: 2.00
Fermi-level density of states in states/eV per cell: 11.4
Volume in Å³/f.u.: 222.7

***

Need the numbers? Relative energies in meV/atom: P 0; Q 329.